Record 1
Density functional theory data (GGA-PBE) for a relaxed structure of RbScBr3.

## Properties
Space-group type: Cmce (64)

POSCAR file:
```
RbScBr3
1.0
7.202 -6.051 0.000
7.202 6.051 0.000
0.000 0.000 7.398
Rb Sc Br
4 4 12
Cartesian
3.601 0.926 1.850
3.601 -0.926 5.549
10.802 0.926 1.850
10.802 -0.926 5.549
7.202 3.905 2.987
7.202 2.146 6.686
7.202 -2.146 0.712
7.202 -3.905 4.411
7.202 5.519 5.268
5.375 3.658 0.839
5.375 2.392 4.538
9.028 3.658 0.839
9.028 2.392 4.538
7.202 0.532 1.569
7.202 -0.532 5.829
5.375 -2.392 2.860
5.375 -3.658 6.559
9.028 -2.392 2.860
9.028 -3.658 6.559
7.202 -5.519 2.130
```


Record 2
Density functional theory data (GGA-PBE) for a relaxed structure of RbScBr3.

## Properties
Space-group type: P2_1/c (14)

POSCAR file:
```
RbScBr3
1.0
10.361 0.000 0.000
0.000 6.649 0.000
-3.339 0.000 10.176
Rb Sc Br
4 4 12
Cartesian
1.044 1.141 1.563
-0.625 2.184 6.651
7.647 4.466 3.524
5.978 5.508 8.612
4.445 4.683 0.349
2.775 5.291 5.437
4.247 1.358 4.739
2.577 1.966 9.826
-1.503 4.066 10.067
0.167 5.908 4.979
0.269 0.525 9.428
1.939 2.800 4.341
1.952 3.956 8.042
3.622 6.018 2.954
3.400 0.631 7.221
5.070 2.693 2.133
5.083 3.850 5.835
6.753 6.124 0.747
6.856 0.741 5.196
8.525 2.584 0.108
```


Record 3
Density functional theory data (GGA-PBE) for a relaxed structure of RbScBr3.

## Properties
Space-group type: Pm-3m (221)

POSCAR file:
```
RbScBr3
1.0
5.468 0.000 0.000
0.000 5.468 0.000
0.000 0.000 5.468
Rb Sc Br
1 1 3
Cartesian
0.000 0.000 0.000
2.734 2.734 2.734
0.000 2.734 2.734
2.734 0.000 2.734
2.734 2.734 0.000
```


Record 4
Density functional theory data (GGA-PBE) for a relaxed structure of Rb3Sc5Br12.

## Properties
Space-group type: Ia-3d (230)

POSCAR file:
```
Rb3Sc5Br12
1.0
-8.949 8.949 8.949
8.949 -8.949 8.949
8.949 8.949 -8.949
Rb Sc Br
12 20 48
Cartesian
4.474 2.237 0.000
8.949 4.474 -2.237
2.237 0.000 4.474
11.186 0.000 4.474
0.000 4.474 2.237
4.474 -2.237 8.949
4.474 11.186 0.000
8.949 4.474 6.712
-2.237 8.949 4.474
6.712 8.949 4.474
0.000 4.474 11.186
4.474 6.712 8.949
0.000 0.000 0.000
4.474 4.474 -4.474
4.474 -4.474 4.474
8.949 0.000 0.000
13.423 2.237 0.000
8.949 -4.474 6.712
6.712 8.949 -4.474
6.712 0.000 4.474
4.474 6.712 0.000
8.949 4.474 2.237
-4.474 4.474 4.474
0.000 8.949 0.000
0.000 0.000 8.949
4.474 4.474 4.474
0.000 4.474 6.712
4.474 2.237 8.949
2.237 8.949 4.474
2.237 0.000 13.423
0.000 13.423 2.237
-4.474 6.712 8.949
2.575 -0.606 0.889
10.848 5.364 -5.081
11.524 0.606 0.889
10.848 -3.585 5.081
8.342 -0.889 2.575
14.030 -1.899 3.585
0.889 2.575 -0.606
12.534 3.868 -1.899
5.364 5.081 -1.899
8.060 2.575 0.606
-0.606 0.889 2.575
5.081 -1.899 5.364
8.342 8.060 -2.575
5.081 1.899 3.585
5.364 -5.081 10.848
8.060 -2.575 8.342
3.585 5.081 1.899
9.838 6.374 0.606
5.081 10.848 -3.585
8.342 0.889 6.374
2.575 8.342 -0.889
10.848 3.585 3.868
1.899 3.585 5.081
2.575 0.606 8.060
6.374 8.342 0.889
7.050 5.364 3.868
-1.899 5.364 5.081
6.374 0.606 9.838
0.606 8.060 2.575
3.868 -1.899 12.534
-0.889 2.575 8.342
5.364 3.868 7.050
0.889 11.524 0.606
3.585 14.030 -1.899
3.868 7.050 5.364
0.606 0.889 11.524
3.868 10.848 3.585
9.555 8.060 6.374
0.889 6.374 8.342
3.585 3.868 10.848
-3.585 5.081 10.848
8.060 6.374 9.555
-5.081 10.848 5.364
0.606 9.838 6.374
-1.899 12.534 3.868
-2.575 8.342 8.060
-1.899 3.585 14.030
6.374 9.555 8.060
```


Record 5
Density functional theory data (GGA-PBE) for a relaxed structure of RbScBr3.

## Properties
Space-group type: P6_3/mmc (194)

POSCAR file:
```
RbScBr3
1.0
4.754 0.000 0.000
-2.377 4.117 0.000
0.000 0.000 18.669
Rb Sc Br
2 2 6
Cartesian
0.000 0.000 0.000
0.000 0.000 9.334
0.000 2.745 4.667
2.377 1.372 14.002
0.000 0.000 4.667
0.000 0.000 14.002
0.000 2.745 2.000
0.000 2.745 7.334
2.377 1.372 11.335
2.377 1.372 16.669
```


Record 6
Density functional theory data (GGA-PBE) for a relaxed structure of Rb2ScBr.

## Properties
Space-group type: I-42d (122)

POSCAR file:
```
Rb2ScBr
1.0
10.048 0.000 0.000
0.000 10.048 0.000
0.000 0.000 8.212
Rb Sc Br
8 4 4
Cartesian
1.894 2.512 1.027
2.512 6.918 3.080
2.512 8.154 7.186
3.130 2.512 5.133
6.918 7.536 5.133
7.536 1.894 7.186
7.536 3.130 3.080
8.154 7.536 1.027
0.000 0.000 4.106
0.000 5.024 6.159
5.024 0.000 2.053
5.024 5.024 0.000
0.000 0.000 0.000
0.000 5.024 2.053
5.024 0.000 6.159
5.024 5.024 4.106
```


| no. | formation energy without anion corrections (kJ/mol of formula units) |
| --- | --- |
| 1 | -706 |
| 2 | -750 |
| 3 | -749 |
| 4 | -2609 |
| 5 | -710 |
| 6 | -5 |